The following is a DFT calculation (PBE-GGA) of a geometry-optimized CePr5Bi4 structure.

Unit cell a=10.1170 b=10.1170 c=8.8981 alpha=105.14 beta=105.14 gamma=25.94
With the nearest neighbours (Å) after each atom.
Element x y z (fractional)
Ce 0.0000 0.0000 0.0000  6 Bi 3.18-3.20
Pr 0.0000 0.0000 0.5000  4 Bi 3.19
Pr 0.3220 0.3220 0.6500  3 Bi 3.22-3.24
Pr 0.3369 0.3369 0.1795  4 Bi 3.20-3.27
Pr 0.6631 0.6631 0.8205  4 Bi 3.20-3.27
Pr 0.6780 0.6780 0.3500  3 Bi 3.22-3.24
Bi 0.1685 0.1685 0.0852  5 Pr 3.20-3.25, 1 Ce 3.20
Bi 0.4914 0.4914 0.7460  2 Ce 3.18, 4 Pr 3.19-3.27
Bi 0.5086 0.5086 0.2540  2 Ce 3.18, 4 Pr 3.19-3.27
Bi 0.8315 0.8315 0.9148  5 Pr 3.20-3.25, 1 Ce 3.20

Output
Crystal system ... monoclinic
Symmetry ... C2/m
Calculated total energy ... -5.085 eV/atom